# ZrHN2F | Alexandria | PBE-GGA | relaxed
data_ZrHN2F
_chemical_formula_sum 'Zr1 H1 N2 F1'
_space_group_name_H-M_alt 'P 4/m m m'
_space_group_IT_number 123
_space_group_name_Hall '-P 4 2'
_cell_length_a 3.331
_cell_length_b 3.331
_cell_length_c 3.650
_cell_angle_alpha 90.00
_cell_angle_beta 90.00
_cell_angle_gamma 90.00
loop_
_atom_site_label
_atom_site_type_symbol
_atom_site_fract_x
_atom_site_fract_y
_atom_site_fract_z
Zr1 Zr 0.000 0.000 0.000
H1 H 0.500 0.500 0.500
N1 N 0.000 0.500 0.500
F1 F 0.500 0.500 0.000
# ΔE to the lowest computed polymorph in eV per atom: 0.000
# D(E_F) in states/eV per atom: 0.35

***

# ZrHNF2 | Alexandria | PBE-GGA | relaxed
data_ZrHNF2
_chemical_formula_sum 'Zr1 H1 N1 F2'
_space_group_name_H-M_alt 'P 4/m m m'
_space_group_IT_number 123
_space_group_name_Hall '-P 4 2'
_cell_length_a 4.246
_cell_length_b 4.246
_cell_length_c 4.132
_cell_angle_alpha 90.00
_cell_angle_beta 90.00
_cell_angle_gamma 90.00
loop_
_atom_site_label
_atom_site_type_symbol
_atom_site_fract_x
_atom_site_fract_y
_atom_site_fract_z
Zr1 Zr 0.000 0.000 0.000
H1 H 0.500 0.500 0.500
N1 N 0.000 0.000 0.500
F1 F 0.000 0.500 0.000
# ΔE to the lowest computed polymorph in eV per atom: 0.000
# D(E_F) in states/eV per atom: 0.37

***

# ZrHN2F | Alexandria | PBE-GGA | relaxed
data_ZrHN2F
_chemical_formula_sum 'Zr1 H1 N2 F1'
_space_group_name_H-M_alt 'P 4/m m m'
_space_group_IT_number 123
_space_group_name_Hall '-P 4 2'
_cell_length_a 4.352
_cell_length_b 4.352
_cell_length_c 4.268
_cell_angle_alpha 90.00
_cell_angle_beta 90.00
_cell_angle_gamma 90.00
loop_
_atom_site_label
_atom_site_type_symbol
_atom_site_fract_x
_atom_site_fract_y
_atom_site_fract_z
Zr1 Zr 0.000 0.000 0.000
H1 H 0.500 0.500 0.500
N1 N 0.000 0.500 0.000
F1 F 0.000 0.000 0.500
# ΔE to the lowest computed polymorph in eV per atom: 0.378
# D(E_F) in states/eV per atom: 0.84

***

# ZrHNF2 | Alexandria | PBE-GGA | relaxed
data_ZrHNF2
_chemical_formula_sum 'Zr1 H1 N1 F2'
_space_group_name_H-M_alt 'P 4/m m m'
_space_group_IT_number 123
_space_group_name_Hall '-P 4 2'
_cell_length_a 3.185
_cell_length_b 3.185
_cell_length_c 4.380
_cell_angle_alpha 90.00
_cell_angle_beta 90.00
_cell_angle_gamma 90.00
loop_
_atom_site_label
_atom_site_type_symbol
_atom_site_fract_x
_atom_site_fract_y
_atom_site_fract_z
Zr1 Zr 0.000 0.000 0.000
H1 H 0.500 0.500 0.500
N1 N 0.500 0.500 0.000
F1 F 0.000 0.500 0.500
# ΔE to the lowest computed polymorph in eV per atom: 0.034
# D(E_F) in states/eV per atom: 0.06

***

# Na2H6F | Alexandria | PBE-GGA | relaxed
data_Na2H6F
_chemical_formula_sum 'Na8 H24 F4'
_space_group_name_H-M_alt 'F m -3 m'
_space_group_IT_number 225
_space_group_name_Hall '-F 4 2 3'
_cell_length_a 6.727
_cell_length_b 6.727
_cell_length_c 6.727
_cell_angle_alpha 90.00
_cell_angle_beta 90.00
_cell_angle_gamma 90.00
loop_
_atom_site_label
_atom_site_type_symbol
_atom_site_fract_x
_atom_site_fract_y
_atom_site_fract_z
Na1 Na 0.250 0.250 0.250
H1 H 0.000 0.000 0.143
F1 F 0.000 0.000 0.500
# D(E_F) in states/eV per atom: 0.52
# Raw total energy in eV per atom: -2.516

***

# Na2HF | Alexandria | PBE-GGA | relaxed
data_Na2HF
_chemical_formula_sum 'Na6 H3 F3'
_space_group_name_H-M_alt 'R -3 m'
_space_group_IT_number 166
_space_group_name_Hall '-R 3 2"'
_cell_length_a 3.3599
_cell_length_b 3.3599
_cell_length_c 16.4537
_cell_angle_alpha 90.00
_cell_angle_beta 90.00
_cell_angle_gamma 120.00
loop_
_atom_site_label
_atom_site_type_symbol
_atom_site_fract_x
_atom_site_fract_y
_atom_site_fract_z
Na1 Na 0.0000 0.0000 0.2487
H1 H 0.0000 0.0000 0.0000
F1 F 0.0000 0.0000 0.5000
# ΔE to the lowest computed polymorph in eV per atom: 0.000
# D(E_F) in states/eV per atom: 0.00